[1]
Density functional theory data (PBE-GGA) for a relaxed structure of LaCdAsBr2.

abc: 5.265 5.265 5.498
angles: 90.00 90.00 90.00
Atoms (fractional coordinates):
As1 0.000 0.000 0.500
Cd1 0.000 0.000 0.000
Br1 0.500 0.000 0.000
La1 0.500 0.500 0.500
Br2 0.000 0.500 0.000

Calculated values
Formation energy without anion corrections ... -0.53 eV per atom
VASP energy ... -16.47 eV for the cell shown
SG ... No. 123
Energy relative to the lowest polymorph listed for this composition ... 0.75 eV/f.u.
V ... 30.5 Å³ per atom

=====

[2]
Density functional theory data (PBE-GGA) for a relaxed structure of SrMg3Ge2.

abc: 4.382 9.309 11.078
angles: 103.95 90.00 103.61
Atoms (fractional coordinates):
Mg1 0.623 0.247 0.212
Sr1 0.845 0.690 0.296
Ge1 0.357 0.715 0.533
Ge2 0.466 0.933 0.209
Sr2 0.000 0.000 0.000
Ge3 0.802 0.605 0.864
Mg2 0.958 0.915 0.656
Ge4 0.198 0.395 0.136
Mg3 0.042 0.085 0.344
Mg4 0.214 0.428 0.392
Sr3 0.155 0.310 0.704
Ge5 0.534 0.067 0.791
Mg5 0.677 0.354 0.973
Mg6 0.323 0.646 0.027
Ge6 0.643 0.285 0.467
Mg7 0.377 0.753 0.788
Mg8 0.500 0.000 0.500
Mg9 0.786 0.572 0.608

Calculated values
VASP energy ... -54.07 eV for the cell shown
SG ... No. 12
Formation energy ... -0.387 eV per atom
V ... 23.6 Å³ per atom

=====

[3]
Density functional theory data (PBE-GGA) for a relaxed structure of AlCoNiGe.

abc: 4.088 4.088 4.088
angles: 60.00 60.00 60.00
Atoms (fractional coordinates):
Ni1 0.500 0.500 0.500
Ge1 0.250 0.250 0.250
Co1 0.000 0.000 0.000
Al1 0.750 0.750 0.750

Calculated values
VASP energy ... -22.54 eV for the cell shown
SG ... No. 216
Formation energy ... -0.324 eV per atom
V ... 12.1 Å³ per atom

=====

[4]
Density functional theory data (PBE-GGA) for a relaxed structure of CuHg2GeF6.

abc: 6.380 8.236 6.813
angles: 49.84 51.25 86.24
Atoms (fractional coordinates):
F1 0.555 0.582 0.160
F2 0.445 0.418 0.840
F3 0.195 0.571 0.104
Cu1 0.000 0.000 0.000
Ge1 0.500 0.500 0.000
F4 0.165 0.147 0.536
Hg1 0.598 0.169 0.642
Hg2 0.402 0.831 0.358
F5 0.835 0.853 0.464
F6 0.805 0.429 0.896

Calculated values
Formation energy without anion corrections ... -1.64 eV per atom
VASP energy ... -36.98 eV for the cell shown
SG ... No. 2
V ... 17.6 Å³ per atom

=====

[5]
Density functional theory data (PBE-GGA) for a relaxed structure of Ac2PmGa.

abc: 5.778 5.778 5.778
angles: 60.00 60.00 60.00
Atoms (fractional coordinates):
Ga1 0.500 0.500 0.500
Pm1 0.000 0.000 0.000
Ac1 0.750 0.750 0.750
Ac2 0.250 0.250 0.250

Calculated values
VASP energy ... -16.02 eV for the cell shown
SG ... No. 225
Energy relative to the lowest polymorph listed for this composition ... 0.72 eV/f.u.
Formation energy ... -0.005 eV per atom
V ... 34.1 Å³ per atom

=====

[6]
Density functional theory data (PBE-GGA) for a relaxed structure of NbCdBi2.

abc: 6.746 6.746 8.065
angles: 65.27 65.27 90.00
Each line ends with the local moment (μB).
Atoms (fractional coordinates):
Cd1 0.750 0.250 0.500  0.01
Nb1 0.250 0.750 0.500  0.99
Bi1 0.150 0.625 0.250  -0.09
Bi2 0.375 0.400 0.750  -0.10
Cd2 0.000 0.000 0.000  0.01
Bi3 0.875 0.850 0.750  -0.09
Bi4 0.600 0.125 0.250  -0.09
Nb2 0.500 0.500 0.000  1.00

Calculated values
VASP energy ... -32.70 eV for the cell shown
SG ... No. 122
Formation energy ... 0.599 eV per atom
V ... 37.0 Å³ per atom

=====

[7]
Density functional theory data (PBE-GGA) for a relaxed structure of La2Hf2Ag.

abc: 7.358 7.358 5.146
angles: 90.00 90.00 90.00
Atoms (fractional coordinates):
Hf1 0.142 0.358 0.000
Hf2 0.858 0.642 0.000
La1 0.164 0.664 0.500
La2 0.664 0.836 0.500
Ag1 0.500 0.500 0.000
La3 0.836 0.336 0.500
La4 0.336 0.164 0.500
Ag2 0.000 0.000 0.000
Hf3 0.642 0.142 0.000
Hf4 0.358 0.858 0.000

Calculated values
VASP energy ... -62.91 eV for the cell shown
SG ... No. 127
Formation energy ... 0.231 eV per atom
V ... 27.9 Å³ per atom

=====

[8]
Density functional theory data (PBE-GGA) for a relaxed structure of PaVZn2.

abc: 2.885 2.885 8.143
angles: 90.00 90.00 90.00
Atoms (fractional coordinates):
Pa1 0.500 0.500 0.500
Zn1 0.000 0.000 0.787
Zn2 0.000 0.000 0.213
V1 0.500 0.500 0.000

Calculated values
VASP energy ... -20.88 eV for the cell shown
SG ... No. 123
Energy relative to the lowest polymorph listed for this composition ... 0.24 eV/f.u.
Formation energy ... 0.072 eV per atom
V ... 16.9 Å³ per atom